DFT (PBE) results for a relaxed structure of LuRe2.

Values from the calculation:
DFT total energy	-7.926	eV/atom
energy of formation from the pure elements	5.590	eV per formula unit

a = 6.262 Å, b = 6.262 Å, c = 6.262 Å
α = 90.00°, β = 90.00°, γ = 90.00°
Space group Fm-3m (No. 225)
Unique sites:
Lu1 0.000 0.000 0.000 (multiplicity 4)
Re1 0.250 0.250 0.250 (multiplicity 8)

***

DFT (PBE) results for a relaxed structure of TbYNb4.

Values from the calculation:
DFT total energy	-7.131	eV/atom
offset from the most stable computed form	772	meV/atom
energy of formation from the pure elements	8.687	eV per formula unit

a = 7.557 Å, b = 7.558 Å, c = 5.803 Å
α = 90.00°, β = 90.00°, γ = 90.00°
Space group Cmmm (No. 65)
Unique sites:
Tb1 0.000 0.000 0.000 (multiplicity 2)
Y1 0.000 0.500 0.500 (multiplicity 2)
Nb1 0.000 0.148 0.500 (multiplicity 4)
Nb2 0.148 0.500 0.000 (multiplicity 4)

***

DFT (PBE) results for a relaxed structure of DyInAsO.

Values from the calculation:
DFT total energy	-5.549	eV/atom
offset from the most stable computed form	181	meV/atom

a = 4.099 Å, b = 7.644 Å, c = 5.907 Å
α = 90.00°, β = 90.00°, γ = 90.00°
Space group Pmc2_1 (No. 26)
Unique sites:
Dy1 0.000 0.192 0.000 (multiplicity 2)
In1 0.500 0.393 0.577 (multiplicity 2)
As1 0.000 0.180 0.493 (multiplicity 2)
O1 0.500 0.301 0.976 (multiplicity 2)

***

DFT (PBE) results for a relaxed structure of Ta11W2.

Values from the calculation:
DFT total energy	-11.876	eV/atom
offset from the most stable computed form	0	meV/atom
energy of formation from the pure elements	1.906	eV per formula unit

a = 5.3840 Å, b = 5.3840 Å, c = 28.6827 Å
α = 90.00°, β = 90.00°, γ = 120.00°
Space group R-3m (No. 166, hexagonal axes)
Unique sites:
Ta1 0.0000 0.0000 0.0000 (multiplicity 3)
Ta2 0.0000 0.0000 0.1674 (multiplicity 6)
Ta3 0.0000 0.0000 0.3520 (multiplicity 6)
Ta4 0.0029 0.5014 0.4113 (multiplicity 18)
W1 0.0000 0.0000 0.4558 (multiplicity 6)

***

DFT (PBE) results for a relaxed structure of NaYPdS3.

Values from the calculation:
DFT total energy	-5.384	eV/atom

a = 7.866 Å, b = 3.965 Å, c = 9.068 Å
α = 90.00°, β = 101.88°, γ = 90.00°
Space group P2_1/m (No. 11)
Unique sites:
Na1 0.195 0.250 0.214 (multiplicity 2)
Y1 0.325 0.750 0.853 (multiplicity 2)
Pd1 0.100 0.250 0.579 (multiplicity 2)
S1 0.082 0.250 0.849 (multiplicity 2)
S2 0.233 0.750 0.533 (multiplicity 2)
S3 0.435 0.750 0.157 (multiplicity 2)

***

DFT (PBE) results for a relaxed structure of BaDyAs.

Values from the calculation:
DFT total energy	-4.277	eV/atom
offset from the most stable computed form	0	meV/atom

a = 7.319 Å, b = 7.319 Å, c = 7.319 Å
α = 90.00°, β = 90.00°, γ = 90.00°
Space group F-43m (No. 216)
Unique sites:
Ba1 0.000 0.000 0.000 (multiplicity 4)
Dy1 0.000 0.000 0.500 (multiplicity 4)
As1 0.250 0.250 0.250 (multiplicity 4)

***

DFT (PBE) results for a relaxed structure of LiNbAsO.

Values from the calculation:
DFT total energy	-6.727	eV/atom
offset from the most stable computed form	0	meV/atom

a = 3.339 Å, b = 6.459 Å, c = 5.969 Å
α = 90.00°, β = 90.00°, γ = 90.00°
Space group Pmc2_1 (No. 26)
Unique sites:
Li1 0.000 0.134 0.000 (multiplicity 2)
Nb1 0.500 0.491 0.709 (multiplicity 2)
As1 0.000 0.265 0.449 (multiplicity 2)
O1 0.500 0.280 0.957 (multiplicity 2)

***

DFT (PBE) results for a relaxed structure of DyTm2Ge4Pd4.

Values from the calculation:
DFT total energy	-5.707	eV/atom

a = 4.145 Å, b = 7.115 Å, c = 13.908 Å
α = 90.00°, β = 90.00°, γ = 90.00°
Space group Immm (No. 71)
Unique sites:
Dy1 0.000 0.000 0.000 (multiplicity 2)
Tm1 0.000 0.500 0.126 (multiplicity 4)
Ge1 0.000 0.000 0.218 (multiplicity 4)
Ge2 0.000 0.187 0.500 (multiplicity 4)
Pd1 0.000 0.298 0.325 (multiplicity 8)

***

DFT (PBE) results for a relaxed structure of Ni3B.

Values from the calculation:
DFT total energy	-5.727	eV/atom

a = 3.459 Å, b = 3.459 Å, c = 6.382 Å
α = 90.00°, β = 90.00°, γ = 90.00°
Space group I4/mmm (No. 139)
Unique sites:
Ni1 0.000 0.000 0.000 (multiplicity 2)
Ni2 0.000 0.500 0.250 (multiplicity 4)
B1 0.000 0.000 0.500 (multiplicity 2)

***

DFT (PBE) results for a relaxed structure of BaLiLuTe3.

Values from the calculation:
DFT total energy	-4.390	eV/atom

a = 15.168 Å, b = 4.508 Å, c = 11.520 Å
α = 90.00°, β = 90.00°, γ = 90.00°
Space group Pnma (No. 62)
Unique sites:
Ba1 0.227 0.250 0.040 (multiplicity 4)
Li1 0.007 0.750 0.093 (multiplicity 4)
Lu1 0.018 0.250 0.335 (multiplicity 4)
Te1 0.096 0.750 0.880 (multiplicity 4)
Te2 0.100 0.250 0.573 (multiplicity 4)
Te3 0.142 0.750 0.258 (multiplicity 4)

***

DFT (PBE) results for a relaxed structure of TaSb2Au.

Values from the calculation:
DFT total energy	-5.333	eV/atom

a = 7.025 Å, b = 7.025 Å, c = 7.025 Å
α = 90.00°, β = 90.00°, γ = 90.00°
Space group F-43m (No. 216)
Unique sites:
Ta1 0.000 0.000 0.000 (multiplicity 4)
Sb1 0.000 0.000 0.500 (multiplicity 4)
Sb2 0.250 0.250 0.750 (multiplicity 4)
Au1 0.250 0.250 0.250 (multiplicity 4)

***

DFT (PBE) results for a relaxed structure of PrAuSO.

Values from the calculation:
DFT total energy	-6.033	eV/atom
offset from the most stable computed form	142	meV/atom

a = 4.054 Å, b = 4.054 Å, c = 8.932 Å
α = 90.00°, β = 90.00°, γ = 90.00°
Space group P4/nmm (No. 129, origin choice 2)
Unique sites:
Pr1 0.250 0.250 0.136 (multiplicity 2)
Au1 0.250 0.750 0.500 (multiplicity 2)
S1 0.250 0.250 0.705 (multiplicity 2)
O1 0.250 0.750 0.000 (multiplicity 2)

***

DFT (PBE) results for a relaxed structure of Zn3AgN.

Values from the calculation:
DFT total energy	-2.662	eV/atom

a = 4.165 Å, b = 4.165 Å, c = 4.165 Å
α = 90.00°, β = 90.00°, γ = 90.00°
Space group Pm-3m (No. 221)
Unique sites:
Zn1 0.000 0.000 0.500 (multiplicity 3)
Ag1 0.500 0.500 0.500 (multiplicity 1)
N1 0.000 0.000 0.000 (multiplicity 1)

***

DFT (PBE) results for a relaxed structure of AgPbO3.

Values from the calculation:
DFT total energy	-4.697	eV/atom

a = 5.787 Å, b = 8.323 Å, c = 5.520 Å
α = 90.00°, β = 90.00°, γ = 90.00°
Space group Pnma (No. 62)
Unique sites:
Ag1 0.000 0.000 0.000 (multiplicity 4)
Pb1 0.065 0.250 0.473 (multiplicity 4)
O1 0.083 0.750 0.147 (multiplicity 4)
O2 0.182 0.578 0.691 (multiplicity 8)

***

DFT (PBE) results for a relaxed structure of ThScCu.

Values from the calculation:
DFT total energy	-5.020	eV/atom
offset from the most stable computed form	637	meV/atom
energy of formation from the pure elements	2.399	eV per formula unit

a = 6.706 Å, b = 6.706 Å, c = 6.706 Å
α = 90.00°, β = 90.00°, γ = 90.00°
Space group F-43m (No. 216)
Unique sites:
Th1 0.000 0.000 0.000 (multiplicity 4)
Sc1 0.250 0.250 0.250 (multiplicity 4)
Cu1 0.250 0.250 0.750 (multiplicity 4)

***

DFT (PBE) results for a relaxed structure of NbCd2Sn.

Values from the calculation:
DFT total energy	-3.564	eV/atom

a = 6.981 Å, b = 6.981 Å, c = 6.981 Å
α = 90.00°, β = 90.00°, γ = 90.00°
Space group F-43m (No. 216)
Unique sites:
Nb1 0.000 0.000 0.000 (multiplicity 4)
Cd1 0.000 0.000 0.500 (multiplicity 4)
Cd2 0.250 0.250 0.250 (multiplicity 4)
Sn1 0.250 0.250 0.750 (multiplicity 4)

***

DFT (PBE) results for a relaxed structure of Gd2DyMg3AgAu2.

Values from the calculation:
DFT total energy	-3.657	eV/atom

a = 4.021 Å, b = 13.412 Å, c = 7.760 Å
α = 90.00°, β = 90.00°, γ = 90.00°
Space group Amm2 (No. 38)
Unique sites:
Gd1 0.000 0.208 0.000 (multiplicity 4)
Dy1 0.000 0.000 0.377 (multiplicity 2)
Mg1 0.500 0.000 0.041 (multiplicity 2)
Mg2 0.500 0.124 0.668 (multiplicity 4)
Ag1 0.000 0.000 0.791 (multiplicity 2)
Au1 0.500 0.165 0.293 (multiplicity 4)

***

DFT (PBE) results for a relaxed structure of LiLaCoBi.

Values from the calculation:
DFT total energy	-4.548	eV/atom
offset from the most stable computed form	277	meV/atom

a = 7.247 Å, b = 7.247 Å, c = 7.247 Å
α = 90.00°, β = 90.00°, γ = 90.00°
Space group F-43m (No. 216)
Unique sites:
Li1 0.000 0.000 0.000 (multiplicity 4)
La1 0.000 0.000 0.500 (multiplicity 4)
Co1 0.250 0.250 0.750 (multiplicity 4)
Bi1 0.250 0.250 0.250 (multiplicity 4)

***

DFT (PBE) results for a relaxed structure of NaNdAsO.

Values from the calculation:
DFT total energy	-5.246	eV/atom
offset from the most stable computed form	318	meV/atom

a = 3.664 Å, b = 7.950 Å, c = 6.989 Å
α = 90.00°, β = 90.00°, γ = 90.00°
Space group Pmc2_1 (No. 26)
Unique sites:
Na1 0.000 0.205 0.000 (multiplicity 2)
Nd1 0.500 0.391 0.595 (multiplicity 2)
As1 0.000 0.150 0.416 (multiplicity 2)
O1 0.500 0.381 0.913 (multiplicity 2)

***

DFT (PBE) results for a relaxed structure of Tb2GdIn3Fe2Cu.

Values from the calculation:
DFT total energy	-4.936	eV/atom

a = 3.956 Å, b = 12.914 Å, c = 7.455 Å
α = 90.00°, β = 90.00°, γ = 90.00°
Space group Amm2 (No. 38)
Unique sites:
Tb1 0.000 0.205 0.000 (multiplicity 4)
Gd1 0.000 0.000 0.385 (multiplicity 2)
In1 0.500 0.000 0.051 (multiplicity 2)
In2 0.500 0.129 0.667 (multiplicity 4)
Fe1 0.500 0.167 0.295 (multiplicity 4)
Cu1 0.000 0.000 0.795 (multiplicity 2)